A plane-wave DFT calculation with PBE-GGA was carried out for crystalline CdOs2Pd4 at its relaxed geometry.

Formation energy: 1288 meV/atom
Calculated density: 9.95 g/cm³

abc: 7.162 7.162 7.162
angles: 139.54 139.54 58.56
Fractional coordinates of all 7 atoms:
Cd 0.000 0.000 0.000
Os 0.408 0.408 0.000
Os 0.592 0.592 0.000
Pd 0.000 0.500 0.500
Pd 0.215 0.215 0.000
Pd 0.500 0.000 0.500
Pd 0.785 0.785 0.000


A plane-wave DFT calculation with PBE-GGA was carried out for crystalline Na2UPaBi4 at its relaxed geometry.

Formation energy: -73 meV/atom
Calculated density: 8.26 g/cm³

abc: 7.786 4.636 8.008
angles: 90.00 110.01 90.00
Fractional coordinates of all 8 atoms:
Na 0.000 0.000 0.000
Na 0.000 0.500 0.500
U 0.500 0.000 0.500
Pa 0.500 0.500 0.000
Bi 0.276 0.000 0.758
Bi 0.276 0.500 0.259
Bi 0.724 0.000 0.242
Bi 0.724 0.500 0.741


A plane-wave DFT calculation with PBE-GGA was carried out for crystalline Re3NiC at its relaxed geometry.

Energy above the lowest structure with this stoichiometry: 0.00 kJ per mole of atoms
Formation energy: 403 meV/atom
Calculated density: 15.95 g/cm³

abc: 4.031 4.031 4.031
angles: 90.00 90.00 90.00
Fractional coordinates of all 5 atoms:
Re 0.000 0.000 0.500
Re 0.000 0.500 0.000
Re 0.500 0.000 0.000
Ni 0.500 0.500 0.500
C 0.000 0.000 0.000


A plane-wave DFT calculation with PBE-GGA was carried out for crystalline NbWN3 at its relaxed geometry.

Formation energy (no corrections): -0.55 eV/atom
Calculated density: 7.70 g/cm³

abc: 5.507 5.507 6.871
angles: 90.81 90.81 41.29
Fractional coordinates of all 10 atoms:
Nb 0.220 0.220 0.330
Nb 0.780 0.780 0.670
W 0.119 0.119 0.924
W 0.881 0.881 0.076
N 0.049 0.049 0.212
N 0.209 0.209 0.638
N 0.324 0.324 0.063
N 0.676 0.676 0.937
N 0.791 0.791 0.362
N 0.951 0.951 0.788


A plane-wave DFT calculation with PBE-GGA was carried out for crystalline K3Sr at its relaxed geometry.

Energy above the lowest structure with this stoichiometry: 3.54 kJ per mole of atoms
Formation energy: 94 meV/atom
Calculated density: 1.27 g/cm³

abc: 4.800 7.462 7.464
angles: 90.00 90.00 90.00
Fractional coordinates of all 4 atoms:
K 0.000 0.000 0.000
K 0.000 0.500 0.492
K 0.500 0.500 0.991
Sr 0.500 0.000 0.500


A plane-wave DFT calculation with PBE-GGA was carried out for crystalline PuTlSn2Te4 at its relaxed geometry.

Formation energy (no corrections): -0.47 eV/atom
Calculated density: 7.32 g/cm³

abc: 7.952 4.527 7.969
angles: 90.00 108.82 90.00
Fractional coordinates of all 8 atoms:
Pu 0.000 0.000 0.000
Tl 0.500 0.500 0.000
Sn 0.000 0.500 0.500
Sn 0.500 0.000 0.500
Te 0.231 0.000 0.741
Te 0.235 0.500 0.250
Te 0.765 0.500 0.750
Te 0.769 0.000 0.259


A plane-wave DFT calculation with PBE-GGA was carried out for crystalline AlNi3Pb at its relaxed geometry.

Energy above the lowest structure with this stoichiometry: 71.23 kJ per mole of atoms
Formation energy: 1200 meV/atom
Calculated density: 6.47 g/cm³

abc: 4.723 4.723 4.723
angles: 90.00 90.00 90.00
Fractional coordinates of all 5 atoms:
Al 0.000 0.000 0.000
Ni 0.000 0.500 0.500
Ni 0.500 0.000 0.500
Ni 0.500 0.500 0.000
Pb 0.500 0.500 0.500


A plane-wave DFT calculation with PBE-GGA was carried out for crystalline Sr at its relaxed geometry.

Energy above the lowest structure with this stoichiometry: 0.00 kJ per mole of atoms
Formation energy: 0 meV/atom
Calculated density: 2.67 g/cm³

abc: 10.820 10.820 10.820
angles: 22.56 22.56 22.56
Fractional coordinates of all 3 atoms:
Sr 0.000 0.000 0.000
Sr 0.222 0.222 0.222
Sr 0.778 0.778 0.778


A plane-wave DFT calculation with PBE-GGA was carried out for crystalline NbCd3Ni at its relaxed geometry.

Energy above the lowest structure with this stoichiometry: 76.80 kJ per mole of atoms
Formation energy: 1565 meV/atom
Calculated density: 5.20 g/cm³

abc: 5.386 5.386 5.386
angles: 90.00 90.00 90.00
Fractional coordinates of all 5 atoms:
Nb 0.000 0.000 0.000
Cd 0.000 0.000 0.500
Cd 0.000 0.500 0.000
Cd 0.500 0.000 0.000
Ni 0.500 0.500 0.500


A plane-wave DFT calculation with PBE-GGA was carried out for crystalline La4TePtSe2 at its relaxed geometry.

Formation energy (no corrections): -1.65 eV/atom
Calculated density: 7.19 g/cm³

abc: 7.639 4.303 7.719
angles: 90.00 109.43 90.00
Fractional coordinates of all 8 atoms:
La 0.235 0.000 0.239
La 0.261 0.500 0.772
La 0.739 0.500 0.228
La 0.765 0.000 0.761
Te 0.500 0.500 0.500
Pt 0.500 0.000 0.000
Se 0.000 0.000 0.500
Se 0.000 0.500 0.000


A plane-wave DFT calculation with PBE-GGA was carried out for crystalline Ca3AlH6S2 at its relaxed geometry.

Calculated density: 2.12 g/cm³
Final energy: -3.7637 eV/atom

abc: 7.155 7.155 3.843
angles: 93.37 93.37 60.27
Fractional coordinates of all 12 atoms:
Ca 0.000 0.000 0.000
Ca 0.000 0.500 0.000
Ca 0.500 0.000 0.000
Al 0.500 0.500 0.500
H 0.258 0.604 0.232
H 0.396 0.742 0.768
H 0.398 0.398 0.783
H 0.602 0.602 0.217
H 0.604 0.258 0.232
H 0.742 0.396 0.768
S 0.170 0.170 0.481
S 0.830 0.830 0.519


A plane-wave DFT calculation with PBE-GGA was carried out for crystalline Li6Cd3Au at its relaxed geometry.

Energy above the lowest structure with this stoichiometry: 0.00 kJ per mole of atoms
Formation energy: -300 meV/atom
Calculated density: 5.49 g/cm³

abc: 7.838 4.667 9.999
angles: 90.00 107.64 90.00
Fractional coordinates of all 20 atoms:
Li 0.042 0.250 0.402
Li 0.138 0.750 0.174
Li 0.143 0.250 0.712
Li 0.223 0.250 0.006
Li 0.353 0.750 0.793
Li 0.448 0.250 0.609
Li 0.552 0.750 0.391
Li 0.647 0.250 0.207
Li 0.777 0.750 0.994
Li 0.857 0.750 0.288
Li 0.862 0.250 0.826
Li 0.958 0.750 0.598
Cd 0.250 0.750 0.492
Cd 0.336 0.250 0.304
Cd 0.449 0.750 0.087
Cd 0.551 0.250 0.913
Cd 0.664 0.750 0.696
Cd 0.750 0.250 0.508
Au 0.060 0.750 0.881
Au 0.940 0.250 0.119